Record 1
DFT (PBE) results for crystalline CsAcZr at its relaxed geometry.

Lattice parameters (Å, degrees): 5.973 5.973 5.973 60.00 60.00 60.00
Element x y z (fractional)
Cs: 0.000 0.000 0.000
Ac: 0.500 0.500 0.500
Zr: 0.750 0.750 0.750

Summary:
Offset from the most stable computed form (meV/atom): 0
Space-group type: F-43m
Calculated volume (Å³/cell): 150.7
Total magnetic moment (μB/atom): 1.441

***

Record 2
DFT (PBE) results for crystalline Ac2Cu17 at its relaxed geometry.

Lattice parameters (Å, degrees): 6.583 6.583 6.583 83.01 83.01 83.01
Element x y z (fractional)
Ac: 0.158 0.158 0.158
Ac: 0.842 0.842 0.842
Cu: 0.000 0.500 0.500
Cu: 0.162 0.162 0.651
Cu: 0.162 0.651 0.162
Cu: 0.214 0.500 0.786
Cu: 0.214 0.786 0.500
Cu: 0.349 0.838 0.838
Cu: 0.404 0.404 0.404
Cu: 0.500 0.000 0.500
Cu: 0.500 0.214 0.786
Cu: 0.500 0.500 0.000
Cu: 0.500 0.786 0.214
Cu: 0.596 0.596 0.596
Cu: 0.651 0.162 0.162
Cu: 0.786 0.214 0.500
Cu: 0.786 0.500 0.214
Cu: 0.838 0.349 0.838
Cu: 0.838 0.838 0.349

Summary:
Space-group type: R-3m
Calculated volume (Å³/cell): 279.5
Total magnetic moment (μB/atom): 0.000
Total energy (eV/cell): -72.8

***

Record 3
DFT (PBE) results for crystalline Ac2Cu at its relaxed geometry.

Lattice parameters (Å, degrees): 9.141 9.141 9.141 60.00 60.00 60.00
Element x y z (fractional)
Ac: 0.000 0.000 0.000
Ac: 0.000 0.000 0.500
Ac: 0.000 0.500 0.000
Ac: 0.500 0.000 0.000
Cu: 0.125 0.125 0.125
Cu: 0.875 0.875 0.875

Summary:
Space-group type: Fd-3m
Calculated volume (Å³/cell): 540.1
Total magnetic moment (μB/atom): 0.002
Total energy (eV/cell): -17.1

***

Record 4
DFT (PBE) results for crystalline AcCu at its relaxed geometry.

Lattice parameters (Å, degrees): 4.755 4.755 4.755 60.00 60.00 60.00
Element x y z (fractional)
Ac: 0.000 0.000 0.000
Cu: 0.750 0.750 0.750

Summary:
Space-group type: F-43m
Calculated volume (Å³/cell): 76.0
Total magnetic moment (μB/atom): 0.000
Total energy (eV/cell): -6.9

***

Record 5
DFT (PBE) results for crystalline AcCu at its relaxed geometry.

Lattice parameters (Å, degrees): 4.100 4.100 4.082 90.00 90.00 120.00
Element x y z (fractional)
Ac: 0.000 0.000 0.000
Cu: 0.667 0.333 0.500

Summary:
Space-group type: P-6m2
Calculated volume (Å³/cell): 59.4
Total magnetic moment (μB/atom): 0.002
Total energy (eV/cell): -7.8

***

Record 6
DFT (PBE) results for crystalline AcCu at its relaxed geometry.

Lattice parameters (Å, degrees): 5.155 5.155 6.170 90.00 90.00 120.00
Element x y z (fractional)
Ac: 0.333 0.667 0.250
Ac: 0.667 0.333 0.750
Cu: 0.333 0.667 0.750
Cu: 0.667 0.333 0.250

Summary:
Space-group type: P6_3/mmc
Calculated volume (Å³/cell): 142.0
Total magnetic moment (μB/atom): 0.000
Total energy (eV/cell): -14.7